[1]
Compound: BaZr2Mo
Source: Alexandria via LeMat-Bulk
Functional: PBE
Structure: optimized geometry

- Calculated density: 6.54 Mg/m³
- Offset from the most stable computed form: 380.3 meV per atom
- Crystal system: orthorhombic

Structure (CIF):
```
data_BaZr2Mo
_symmetry_space_group_name_H-M 'I m m m'
_symmetry_Int_Tables_number 71
_symmetry_space_group_name_Hall '-I 2 2'
_cell_length_a 3.341
_cell_length_b 6.037
_cell_length_c 10.470
_cell_angle_alpha 90.00
_cell_angle_beta 90.00
_cell_angle_gamma 90.00
loop_
_atom_site_label
_atom_site_type_symbol
_atom_site_fract_x
_atom_site_fract_y
_atom_site_fract_z
_atom_site_occupancy
Ba1 Ba 0.000 0.000 0.000 1
Zr1 Zr 0.000 0.500 0.203 1
Mo1 Mo 0.000 0.000 0.500 1
```



[2]
Compound: CeMgZnCu
Source: Alexandria via LeMat-Bulk
Functional: PBE
Structure: optimized geometry

- Calculated density: 6.11 Mg/m³
- Energy: -54.75 eV per cell
- Crystal system: cubic

Structure (CIF):
```
data_CeMgZnCu
_symmetry_space_group_name_H-M 'F -4 3 m'
_symmetry_Int_Tables_number 216
_symmetry_space_group_name_Hall 'F -4 2 3'
_cell_length_a 6.832
_cell_length_b 6.832
_cell_length_c 6.832
_cell_angle_alpha 90.00
_cell_angle_beta 90.00
_cell_angle_gamma 90.00
loop_
_atom_site_label
_atom_site_type_symbol
_atom_site_fract_x
_atom_site_fract_y
_atom_site_fract_z
_atom_site_occupancy
Ce1 Ce 0.000 0.000 0.000 1
Mg1 Mg 0.000 0.000 0.500 1
Zn1 Zn 0.250 0.250 0.750 1
Cu1 Cu 0.250 0.250 0.250 1
```



[3]
Compound: Li2IrRu
Source: Alexandria via LeMat-Bulk
Functional: PBE
Structure: optimized geometry

- Calculated density: 9.97 Mg/m³
- Offset from the most stable computed form: 360.7 meV per atom
- Crystal system: tetragonal

Structure (CIF):
```
data_Li2IrRu
_symmetry_space_group_name_H-M 'P 4/m m m'
_symmetry_Int_Tables_number 123
_symmetry_space_group_name_Hall '-P 4 2'
_cell_length_a 4.511
_cell_length_b 4.511
_cell_length_c 2.515
_cell_angle_alpha 90.00
_cell_angle_beta 90.00
_cell_angle_gamma 90.00
loop_
_atom_site_label
_atom_site_type_symbol
_atom_site_fract_x
_atom_site_fract_y
_atom_site_fract_z
_atom_site_occupancy
Li1 Li 0.000 0.500 0.000 1
Ir1 Ir 0.000 0.000 0.500 1
Ru1 Ru 0.500 0.500 0.500 1
```



[4]
Compound: BiRhSeN2
Source: Alexandria via LeMat-Bulk
Functional: PBE
Structure: optimized geometry

- Calculated density: 6.89 Mg/m³
- Uncorrected formation energy: 1.898 eV/atom
- Offset from the most stable computed form: 891.5 meV per atom
- Crystal system: tetragonal

Structure (CIF):
```
data_BiRhSeN2
_symmetry_space_group_name_H-M 'P 4/m m m'
_symmetry_Int_Tables_number 123
_symmetry_space_group_name_Hall '-P 4 2'
_cell_length_a 4.281
_cell_length_b 4.281
_cell_length_c 5.510
_cell_angle_alpha 90.00
_cell_angle_beta 90.00
_cell_angle_gamma 90.00
loop_
_atom_site_label
_atom_site_type_symbol
_atom_site_fract_x
_atom_site_fract_y
_atom_site_fract_z
_atom_site_occupancy
Bi1 Bi 0.000 0.000 0.000 1
Rh1 Rh 0.000 0.000 0.500 1
Se1 Se 0.500 0.500 0.500 1
N1 N 0.000 0.500 0.000 1
```



[5]
Compound: MnZnAu3
Source: Alexandria via LeMat-Bulk
Functional: PBE
Structure: optimized geometry

- Calculated density: 9.73 Mg/m³
- Offset from the most stable computed form: 829.3 meV per atom
- Crystal system: cubic

Structure (CIF):
```
data_MnZnAu3
_symmetry_space_group_name_H-M 'P m -3 m'
_symmetry_Int_Tables_number 221
_symmetry_space_group_name_Hall '-P 4 2 3'
_cell_length_a 4.951
_cell_length_b 4.951
_cell_length_c 4.951
_cell_angle_alpha 90.00
_cell_angle_beta 90.00
_cell_angle_gamma 90.00
loop_
_atom_site_label
_atom_site_type_symbol
_atom_site_fract_x
_atom_site_fract_y
_atom_site_fract_z
_atom_site_occupancy
Mn1 Mn 0.000 0.000 0.000 1
Zn1 Zn 0.500 0.500 0.500 1
Au1 Au 0.000 0.000 0.500 1
```



[6]
Compound: LuScAlCr
Source: Alexandria via LeMat-Bulk
Functional: PBE
Structure: optimized geometry

- Calculated density: 6.02 Mg/m³
- Energy: -97.82 eV per cell
- Crystal system: cubic

Structure (CIF):
```
data_LuScAlCr
_symmetry_space_group_name_H-M 'F -4 3 m'
_symmetry_Int_Tables_number 216
_symmetry_space_group_name_Hall 'F -4 2 3'
_cell_length_a 6.907
_cell_length_b 6.907
_cell_length_c 6.907
_cell_angle_alpha 90.00
_cell_angle_beta 90.00
_cell_angle_gamma 90.00
loop_
_atom_site_label
_atom_site_type_symbol
_atom_site_fract_x
_atom_site_fract_y
_atom_site_fract_z
_atom_site_occupancy
Lu1 Lu 0.000 0.000 0.000 1
Sc1 Sc 0.000 0.000 0.500 1
Al1 Al 0.250 0.250 0.250 1
Cr1 Cr 0.250 0.250 0.750 1
```



[7]
Compound: Pr3SmTc
Source: Alexandria via LeMat-Bulk
Functional: PBE
Structure: optimized geometry

- Calculated density: 6.99 Mg/m³
- Offset from the most stable computed form: 0.0 meV per atom
- Crystal system: monoclinic

Structure (CIF):
```
data_Pr3SmTc
_symmetry_space_group_name_H-M 'C 1 2/c 1'
_symmetry_Int_Tables_number 15
_symmetry_space_group_name_Hall '-C 2yc'
_cell_length_a 18.540
_cell_length_b 10.583
_cell_length_c 6.532
_cell_angle_alpha 90.00
_cell_angle_beta 95.52
_cell_angle_gamma 90.00
loop_
_atom_site_label
_atom_site_type_symbol
_atom_site_fract_x
_atom_site_fract_y
_atom_site_fract_z
_atom_site_occupancy
Pr1 Pr 0.138 0.132 0.154 1
Pr2 Pr 0.174 0.464 0.038 1
Pr3 Pr 0.181 0.211 0.658 1
Sm1 Sm 0.000 0.097 0.750 1
Sm2 Sm 0.000 0.380 0.250 1
Tc1 Tc 0.064 0.348 0.798 1
```